1.
A plane-wave DFT calculation with GGA-PBE was carried out for a geometry-optimized ZrReBTe2 structure.

D(E_F)	5.52	states/eV per cell
M_tot	0.00	μB per formula unit
mass density	8.01	Mg/m³
formation energy (no corrections)	3.46	eV per formula unit
space group	P4/mmm, No. 123
final energy	-30.5	eV per formula unit
polymorph energy (0 for the lowest one)	0.0	kJ per mole of atoms

```
ZrReBTe2
1.0
5.338 0.000 0.000
0.000 3.955 0.000
0.000 0.000 5.338
B Te Re Zr
1 2 1 1
Direct
0.000 0.500 0.000 B
0.000 0.000 0.500 Te
0.500 0.000 0.000 Te
0.000 0.000 0.000 Re
0.500 0.500 0.500 Zr
```

2.
A plane-wave DFT calculation with GGA-PBE was carried out for a geometry-optimized Th2ReB10 structure.

DFT formation energy	-527	meV/atom
D(E_F)	3.80	states/eV per cell
M_tot	0.00	μB per formula unit
mass density	8.95	Mg/m³
space group	Pbam, No. 55
final energy	-100.9	eV per formula unit

```
Th2ReB10
1.0
4.217 0.000 0.000
0.000 5.792 0.000
0.000 0.000 11.526
B Re Th
20 2 4
Direct
0.700 0.771 0.880 B
0.300 0.771 0.880 B
0.000 0.382 0.043 B
0.000 0.375 0.197 B
0.000 0.934 0.806 B
0.000 0.625 0.803 B
0.700 0.729 0.380 B
0.000 0.125 0.697 B
0.000 0.882 0.457 B
0.000 0.118 0.543 B
0.000 0.066 0.194 B
0.700 0.229 0.120 B
0.300 0.271 0.620 B
0.300 0.229 0.120 B
0.000 0.566 0.306 B
0.000 0.434 0.694 B
0.700 0.271 0.620 B
0.300 0.729 0.380 B
0.000 0.875 0.303 B
0.000 0.618 0.957 B
0.000 0.000 0.000 Re
0.000 0.500 0.500 Re
0.500 0.727 0.129 Th
0.500 0.773 0.629 Th
0.500 0.273 0.871 Th
0.500 0.227 0.371 Th
```

What did the first record say?
A plane-wave DFT calculation with GGA-PBE was carried out for a geometry-optimized ZrReBTe2 structure.

D(E_F)	5.52	states/eV per cell
M_tot	0.00	μB per formula unit
mass density	8.01	Mg/m³
formation energy (no corrections)	3.46	eV per formula unit
space group	P4/mmm, No. 123
final energy	-30.5	eV per formula unit
polymorph energy (0 for the lowest one)	0.0	kJ per mole of atoms

```
ZrReBTe2
1.0
5.338 0.000 0.000
0.000 3.955 0.000
0.000 0.000 5.338
B Te Re Zr
1 2 1 1
Direct
0.000 0.500 0.000 B
0.000 0.000 0.500 Te
0.500 0.000 0.000 Te
0.000 0.000 0.000 Re
0.500 0.500 0.500 Zr
```

The lowest final energy belongs to which entry?
Th2ReB10

Among the records above, which one has the highest final energy?
ZrReBTe2

Copy entry 2 word for word.
A plane-wave DFT calculation with GGA-PBE was carried out for a geometry-optimized Th2ReB10 structure.

DFT formation energy	-527	meV/atom
D(E_F)	3.80	states/eV per cell
M_tot	0.00	μB per formula unit
mass density	8.95	Mg/m³
space group	Pbam, No. 55
final energy	-100.9	eV per formula unit

```
Th2ReB10
1.0
4.217 0.000 0.000
0.000 5.792 0.000
0.000 0.000 11.526
B Re Th
20 2 4
Direct
0.700 0.771 0.880 B
0.300 0.771 0.880 B
0.000 0.382 0.043 B
0.000 0.375 0.197 B
0.000 0.934 0.806 B
0.000 0.625 0.803 B
0.700 0.729 0.380 B
0.000 0.125 0.697 B
0.000 0.882 0.457 B
0.000 0.118 0.543 B
0.000 0.066 0.194 B
0.700 0.229 0.120 B
0.300 0.271 0.620 B
0.300 0.229 0.120 B
0.000 0.566 0.306 B
0.000 0.434 0.694 B
0.700 0.271 0.620 B
0.300 0.729 0.380 B
0.000 0.875 0.303 B
0.000 0.618 0.957 B
0.000 0.000 0.000 Re
0.000 0.500 0.500 Re
0.500 0.727 0.129 Th
0.500 0.773 0.629 Th
0.500 0.273 0.871 Th
0.500 0.227 0.371 Th
```